No. 1
Compound: Ac2PmPr8
Source: Alexandria
Functional: PBE
Structure: optimized geometry

Calculated values
Crystal system: monoclinic
E: -49.32 eV per cell

Cell lengths 10.8000, 10.8000, 5.8207 Å; angles 93.14, 93.14, 39.07 degrees
With the nearest neighbours (Å) after each atom.
Sites, in units of the cell vectors:
Ac  0.2188  0.2188  0.2563  11 Pr 3.55-3.90
Ac  0.7812  0.7812  0.7437  11 Pr 3.55-3.90
Pm  0.5000  0.5000  0.0000  10 Pr 3.59-3.95
Pr  0.0444  0.0444  0.2364  1 Pr 3.20, 1 Ac 3.55
Pr  0.1115  0.6411  0.2668  4 Pr 3.40-3.73, 1 Pm 3.59, 1 Ac 3.73
Pr  0.3236  0.3236  0.7735  4 Pr 3.56-3.73, 4 Ac 3.59-3.71, 1 Pm 3.75
Pr  0.3589  0.8885  0.7332  4 Pr 3.40-3.73, 1 Pm 3.59, 1 Ac 3.73
Pr  0.6411  0.1115  0.2668  4 Pr 3.40-3.73, 1 Pm 3.59, 1 Ac 3.73
Pr  0.6764  0.6764  0.2265  4 Pr 3.56-3.73, 4 Ac 3.59-3.71, 1 Pm 3.75
Pr  0.8885  0.3589  0.7332  4 Pr 3.40-3.73, 1 Pm 3.59, 1 Ac 3.73
Pr  0.9556  0.9556  0.7636  1 Pr 3.20, 1 Ac 3.55

=====

No. 2
Compound: Ac2Pm5Pr4
Source: Alexandria
Functional: PBE
Structure: optimized geometry

Calculated values
Crystal system: monoclinic
E: -49.64 eV per cell

Cell lengths 7.4308, 7.4308, 10.9491 Å; angles 121.34, 121.34, 56.36 degrees
With the nearest neighbours (Å) after each atom.
Sites, in units of the cell vectors:
Ac  0.0668  0.0668  0.2413  4 Pr 3.49-3.80, 2 Pm 3.65
Ac  0.9332  0.9332  0.7587  4 Pr 3.49-3.80, 2 Pm 3.65
Pm  0.0807  0.6078  0.3330  3 Pm 3.32-3.70, 3 Pr 3.37-3.71, 1 Ac 3.65
Pm  0.3922  0.9193  0.6670  3 Pm 3.32-3.70, 3 Pr 3.37-3.71, 1 Ac 3.65
Pm  0.5000  0.5000  0.0000  4 Pr 3.33-3.44
Pm  0.6078  0.0807  0.3330  3 Pm 3.32-3.70, 3 Pr 3.37-3.71, 1 Ac 3.65
Pm  0.9193  0.3922  0.6670  3 Pm 3.32-3.70, 3 Pr 3.37-3.71, 1 Ac 3.65
Pr  0.2611  0.2611  0.0300  3 Pm 3.33-3.37, 1 Ac 3.49, 2 Pr 3.55
Pr  0.3867  0.3867  0.6253  7 Pm 3.44-3.76, 3 Ac 3.71-3.80
Pr  0.6133  0.6133  0.3747  7 Pm 3.44-3.76, 3 Ac 3.71-3.80
Pr  0.7389  0.7389  0.9700  3 Pm 3.33-3.37, 1 Ac 3.49, 2 Pr 3.55

=====

No. 3
Compound: Ac5PmPr6
Source: Alexandria
Functional: PBE
Structure: optimized geometry

Calculated values
Crystal system: orthorhombic
E: -53.64 eV per cell

Cell lengths 10.1222, 10.1222, 10.1222 Å; angles 148.75, 116.35, 72.61 degrees
With the nearest neighbours (Å) after each atom.
Sites, in units of the cell vectors:
Ac  0.0000  0.0000  0.0000  8 Pr 3.81-3.84, 4 Ac 3.85
Ac  0.1668  0.6668  0.5000  8 Pr 3.81-3.83, 4 Ac 3.85-3.89
Ac  0.3367  0.3367  0.0000  8 Pr 3.75-3.88, 2 Pm 3.81, 2 Ac 3.89
Ac  0.6633  0.6633  0.0000  8 Pr 3.75-3.88, 2 Pm 3.81, 2 Ac 3.89
Ac  0.8332  0.3332  0.5000  8 Pr 3.81-3.83, 4 Ac 3.85-3.89
Pm  0.5000  0.0000  0.5000  8 Pr 3.78-3.79, 4 Ac 3.81
Pr  0.0869  0.8348  0.2521  1 Pm 3.78, 7 Ac 3.80-3.88, 4 Pr 3.83-3.88
Pr  0.2529  0.5000  0.7529  6 Ac 3.75-3.84, 2 Pm 3.79, 4 Pr 3.83
Pr  0.4174  0.1652  0.2521  1 Pm 3.78, 7 Ac 3.80-3.88, 4 Pr 3.83-3.88
Pr  0.5826  0.8348  0.7479  1 Pm 3.78, 7 Ac 3.80-3.88, 4 Pr 3.83-3.88
Pr  0.7471  0.5000  0.2471  6 Ac 3.75-3.84, 2 Pm 3.79, 4 Pr 3.83
Pr  0.9131  0.1652  0.7479  1 Pm 3.78, 7 Ac 3.80-3.88, 4 Pr 3.83-3.88

=====

Table of energy of formation (eV/atom), in record order: 0.1713 0.1317 0.0271
Table of D(E_F) (states/eV per cell), in record order: 17.0 14.0 22.2